# 1
Here is an optimized crystal structure of Ac2GaGe4Pd3 from the Alexandria database. Energies are from PBE-GGA.

a = 4.4595 Å, b = 4.4595 Å, c = 10.5340 Å
α = 90.00°, β = 90.00°, γ = 90.00°
With the nearest neighbours (Å) after each atom.
Atoms (fractional coordinates):
Ac1 0.5000 0.0000 0.2467  8 Ge 3.39-3.42, 6 Pd 3.41-3.48, 2 Ga 3.48
Ac2 0.0000 0.5000 0.7533  8 Ge 3.39-3.42, 6 Pd 3.41-3.48, 2 Ga 3.48
Ga1 0.5000 0.5000 0.5000  4 Ge 2.65
Ge1 0.5000 0.5000 0.0000  4 Pd 2.58
Ge2 0.0000 0.0000 0.0000  4 Pd 2.58
Ge3 0.5000 0.0000 0.6361  3 Pd 2.53-2.65, 2 Ga 2.65
Ge4 0.0000 0.5000 0.3639  3 Pd 2.53-2.65, 2 Ga 2.65
Pd1 0.0000 0.0000 0.5000  4 Ge 2.65
Pd2 0.5000 0.0000 0.8766  5 Ge 2.53-2.58
Pd3 0.0000 0.5000 0.1234  5 Ge 2.53-2.58

ΔE_f   -765 meV/atom
Total magnetic moment   0.0 μB per formula unit
Uncorrected energy   -5.294 eV per atom
DOS at the Fermi energy   4.30 states/eV/cell


# 2
Here is an optimized crystal structure of Ac2Ga4GePd3 from the Alexandria database. Energies are from PBE-GGA.

a = 4.5230 Å, b = 4.5230 Å, c = 10.3226 Å
α = 90.00°, β = 90.00°, γ = 90.00°
With the nearest neighbours (Å) after each atom.
Atoms (fractional coordinates):
Ac1 0.5000 0.0000 0.2499  8 Ga 3.42-3.43, 2 Ge 3.43, 6 Pd 3.43-3.46
Ac2 0.0000 0.5000 0.7501  8 Ga 3.42-3.43, 6 Pd 3.43-3.46, 2 Ge 3.43
Ga1 0.5000 0.5000 0.0000  4 Pd 2.59
Ga2 0.0000 0.0000 0.0000  4 Pd 2.59
Ga3 0.5000 0.0000 0.6334  3 Pd 2.52-2.65, 2 Ge 2.65
Ga4 0.0000 0.5000 0.3666  3 Pd 2.52-2.65, 2 Ge 2.65
Ge1 0.5000 0.5000 0.5000  4 Ga 2.65
Pd1 0.0000 0.0000 0.5000  4 Ga 2.65
Pd2 0.5000 0.0000 0.8772  5 Ga 2.52-2.59
Pd3 0.0000 0.5000 0.1228  5 Ga 2.52-2.59

ΔE_f   -742 meV/atom
Total magnetic moment   0.0 μB per formula unit
Uncorrected energy   -4.794 eV per atom
DOS at the Fermi energy   6.63 states/eV/cell


# 3
Here is an optimized crystal structure of Ac2GaGe3Pd4 from the Alexandria database. Energies are from PBE-GGA.

a = 4.4691 Å, b = 4.4691 Å, c = 10.3681 Å
α = 90.00°, β = 90.00°, γ = 90.00°
With the nearest neighbours (Å) after each atom.
Atoms (fractional coordinates):
Ac1 0.5000 0.0000 0.2509  8 Pd 3.40-3.43, 6 Ge 3.41-3.42, 2 Ga 3.41
Ac2 0.0000 0.5000 0.7491  8 Pd 3.40-3.43, 6 Ge 3.41-3.42, 2 Ga 3.41
Ga1 0.5000 0.5000 0.5000  4 Pd 2.61
Ge1 0.0000 0.0000 0.5000  4 Pd 2.61
Ge2 0.5000 0.0000 0.8757  5 Pd 2.55-2.58
Ge3 0.0000 0.5000 0.1243  5 Pd 2.55-2.58
Pd1 0.5000 0.5000 0.0000  4 Ge 2.58
Pd2 0.0000 0.0000 0.0000  4 Ge 2.58
Pd3 0.5000 0.0000 0.6294  3 Ge 2.55-2.61, 2 Ga 2.61
Pd4 0.0000 0.5000 0.3706  3 Ge 2.55-2.61, 2 Ga 2.61

ΔE_f   -834 meV/atom
Total magnetic moment   0.0 μB per formula unit
Uncorrected energy   -5.420 eV per atom
DOS at the Fermi energy   4.50 states/eV/cell


# 4
Here is an optimized crystal structure of Ac2Pr2GaGe4 from the Alexandria database. Energies are from PBE-GGA.

a = 6.9128 Å, b = 6.9128 Å, c = 6.9128 Å
α = 97.49°, β = 115.77°, γ = 115.77°
With the nearest neighbours (Å) after each atom.
Atoms (fractional coordinates):
Ac1 0.5000 0.7500 0.2500  8 Ge 3.46, 4 Pr 3.72
Ac2 0.5000 0.2500 0.7500  8 Ge 3.46, 4 Pr 3.72
Pr1 0.0000 0.6869 0.6869  1 Ga 2.85, 4 Ge 3.13
Pr2 0.0000 0.3131 0.3131  1 Ga 2.85, 4 Ge 3.13
Ga1 0.0000 0.0000 0.0000  4 Ge 2.57, 2 Pr 2.85
Ge1 0.0000 0.7531 0.2469  1 Ga 2.57
Ge2 0.5063 0.7531 0.7531  1 Ga 2.57
Ge3 0.0000 0.2469 0.7531  1 Ga 2.57
Ge4 0.4937 0.2469 0.2469  1 Ga 2.57

ΔE_f   -362 meV/atom
Total magnetic moment   0.0 μB per formula unit
Uncorrected energy   -4.725 eV per atom
DOS at the Fermi energy   5.69 states/eV/cell


# 5
Here is an optimized crystal structure of Ac3GaGe6Pt2 from the Alexandria database. Energies are from PBE-GGA.

a = 6.2777 Å, b = 6.2777 Å, c = 8.6092 Å
α = 90.00°, β = 90.00°, γ = 120.00°
With the nearest neighbours (Å) after each atom.
Atoms (fractional coordinates):
Ac1 0.3333 0.6667 0.6447  9 Ge 3.22-3.48, 1 Pt 3.31
Ac2 0.6667 0.3333 0.3553  9 Ge 3.22-3.48, 1 Pt 3.31
Ac3 0.0000 0.0000 0.0000  6 Ge 3.22
Ga1 0.0000 0.0000 0.5000  6 Ge 2.85
Ge1 0.6087 0.8044 0.2802  2 Ge 2.59, 1 Pt 2.63, 1 Ga 2.85
Ge2 0.1956 0.3913 0.2802  2 Ge 2.59, 1 Pt 2.63, 1 Ga 2.85
Ge3 0.1956 0.8044 0.2802  2 Ge 2.59, 1 Pt 2.63, 1 Ga 2.85
Ge4 0.8044 0.6087 0.7198  2 Ge 2.59, 1 Pt 2.63, 1 Ga 2.85
Ge5 0.3913 0.1956 0.7198  2 Ge 2.59, 1 Pt 2.63, 1 Ga 2.85
Ge6 0.8044 0.1956 0.7198  2 Ge 2.59, 1 Pt 2.63, 1 Ga 2.85
Pt1 0.6667 0.3333 0.9708  3 Ge 2.63
Pt2 0.3333 0.6667 0.0292  3 Ge 2.63

ΔE_f   -381 meV/atom
Total magnetic moment   0.0 μB per formula unit
Uncorrected energy   -4.975 eV per atom
DOS at the Fermi energy   4.23 states/eV/cell


# 6
Here is an optimized crystal structure of Ac2GaGe6Pt from the Alexandria database. Energies are from PBE-GGA.

a = 5.7894 Å, b = 8.9622 Å, c = 9.1858 Å
α = 90.00°, β = 90.00°, γ = 90.00°
With the nearest neighbours (Å) after each atom.
Atoms (fractional coordinates):
Ac1 0.5000 0.7142 0.2444  9 Ge 3.32-3.61, 2 Ga 3.68
Ac2 0.0000 0.2858 0.7444  9 Ge 3.32-3.61, 2 Ga 3.68
Ac3 0.5000 0.7142 0.7556  9 Ge 3.32-3.61, 2 Ga 3.68
Ac4 0.0000 0.2858 0.2556  9 Ge 3.32-3.61, 2 Ga 3.68
Ga1 0.5000 0.2445 0.5000  6 Ge 2.61-2.86
Ga2 0.0000 0.7555 0.0000  6 Ge 2.61-2.86
Ge1 0.5000 0.1088 0.2179  1 Pt 2.58, 2 Ge 2.63, 1 Ga 2.86
Ge2 0.5000 0.1088 0.7821  1 Pt 2.58, 2 Ge 2.63, 1 Ga 2.86
Ge3 0.0000 0.8912 0.2821  1 Pt 2.58, 2 Ge 2.63, 1 Ga 2.86
Ge4 0.0000 0.8912 0.7179  1 Pt 2.58, 2 Ge 2.63, 1 Ga 2.86
Ge5 0.2618 0.9791 0.5000  3 Ge 2.63-2.76, 1 Ga 2.75, 1 Pt 2.86
Ge6 0.7382 0.9791 0.5000  3 Ge 2.63-2.76, 1 Ga 2.75, 1 Pt 2.86
Ge7 0.2738 0.4964 0.5000  1 Pt 2.48, 1 Ga 2.61, 1 Ge 2.62
Ge8 0.7262 0.4964 0.5000  1 Pt 2.48, 1 Ga 2.61, 1 Ge 2.62
Ge9 0.7738 0.5036 0.0000  1 Pt 2.48, 1 Ga 2.61, 1 Ge 2.62
Ge10 0.2262 0.5036 0.0000  1 Pt 2.48, 1 Ga 2.61, 1 Ge 2.62
Ge11 0.2382 0.0209 0.0000  3 Ge 2.63-2.76, 1 Ga 2.75, 1 Pt 2.86
Ge12 0.7618 0.0209 0.0000  3 Ge 2.63-2.76, 1 Ga 2.75, 1 Pt 2.86
Pt1 0.0000 0.7087 0.5000  4 Ge 2.48-2.58
Pt2 0.5000 0.2913 0.0000  4 Ge 2.48-2.58

ΔE_f   -345 meV/atom
Total magnetic moment   0.0 μB per formula unit
Uncorrected energy   -4.844 eV per atom
DOS at the Fermi energy   11.64 states/eV/cell


# 7
Here is an optimized crystal structure of AcGaGePt6 from the Alexandria database. Energies are from PBE-GGA.

a = 7.8065 Å, b = 8.4990 Å, c = 8.1436 Å
α = 121.45°, β = 118.64°, γ = 90.00°
With the nearest neighbours (Å) after each atom.
Atoms (fractional coordinates):
Ac1 0.8632 0.6132 0.7264  6 Pt 2.97-2.98
Ac2 0.1368 0.3868 0.2736  6 Pt 2.97-2.98
Ga1 0.5000 0.0000 0.5000  6 Pt 2.45-2.48
Ga2 0.0000 0.0000 0.5000  6 Pt 2.45-2.48
Ge1 0.5000 0.5000 0.0000  6 Pt 2.42-2.44
Ge2 0.5000 0.0000 0.0000  6 Pt 2.42-2.44
Pt1 0.3960 0.6460 0.7920  2 Ge 2.44
Pt2 0.8787 0.1287 0.7574  2 Ga 2.45
Pt3 0.8739 0.1125 0.2504  1 Ge 2.42, 1 Ga 2.48
Pt4 0.3764 0.6379 0.2504  1 Ge 2.42, 1 Ga 2.48
Pt5 0.3764 0.1125 0.2504  1 Ge 2.42, 1 Ga 2.48
Pt6 0.8739 0.6379 0.2504  1 Ge 2.42, 1 Ga 2.48
Pt7 0.6040 0.3540 0.2080  2 Ge 2.44
Pt8 0.1213 0.8713 0.2426  2 Ga 2.45
Pt9 0.1261 0.8875 0.7496  1 Ge 2.42, 1 Ga 2.48
Pt10 0.6236 0.3621 0.7496  1 Ge 2.42, 1 Ga 2.48
Pt11 0.6236 0.8875 0.7496  1 Ge 2.42, 1 Ga 2.48
Pt12 0.1261 0.3621 0.7496  1 Ge 2.42, 1 Ga 2.48

ΔE_f   -426 meV/atom
Total magnetic moment   0.0 μB per formula unit
Uncorrected energy   -5.759 eV per atom
DOS at the Fermi energy   6.48 states/eV/cell


# 8
Here is an optimized crystal structure of AcGaGePt2 from the Alexandria database. Energies are from PBE-GGA.

a = 4.4347 Å, b = 4.4347 Å, c = 6.1944 Å
α = 110.97°, β = 110.97°, γ = 90.00°
With the nearest neighbours (Å) after each atom.
Atoms (fractional coordinates):
Ac1 0.0000 0.0000 0.0000  8 Pt 3.43, 4 Ge 3.47, 4 Ga 3.47
Ga1 0.7500 0.2500 0.5000  4 Pt 2.56
Ge1 0.2500 0.7500 0.5000  4 Pt 2.56
Pt1 0.6302 0.6302 0.2604  2 Ge 2.56, 2 Ga 2.56, 1 Pt 2.78
Pt2 0.3698 0.3698 0.7396  2 Ga 2.56, 2 Ge 2.56, 1 Pt 2.78

ΔE_f   -935 meV/atom
Total magnetic moment   0.0 μB per formula unit
Uncorrected energy   -5.702 eV per atom
DOS at the Fermi energy   2.26 states/eV/cell


# 9
Here is an optimized crystal structure of Ac2Ga3GePt4 from the Alexandria database. Energies are from PBE-GGA.

a = 4.4648 Å, b = 4.4648 Å, c = 10.3885 Å
α = 90.00°, β = 90.00°, γ = 90.00°
With the nearest neighbours (Å) after each atom.
Atoms (fractional coordinates):
Ac1 0.5000 0.0000 0.2531  8 Pt 3.39-3.45, 2 Ge 3.40, 6 Ga 3.40-3.42
Ac2 0.0000 0.5000 0.7469  8 Pt 3.39-3.45, 6 Ga 3.40-3.42, 2 Ge 3.40
Ga1 0.0000 0.0000 0.5000  4 Pt 2.59
Ga2 0.5000 0.0000 0.8745  5 Pt 2.57-2.59
Ga3 0.0000 0.5000 0.1255  5 Pt 2.57-2.59
Ge1 0.5000 0.5000 0.5000  4 Pt 2.59
Pt1 0.5000 0.5000 0.0000  4 Ga 2.59
Pt2 0.0000 0.0000 0.0000  4 Ga 2.59
Pt3 0.5000 0.0000 0.6271  3 Ga 2.57-2.59, 2 Ge 2.59
Pt4 0.0000 0.5000 0.3729  3 Ga 2.57-2.59, 2 Ge 2.59

ΔE_f   -972 meV/atom
Total magnetic moment   0.0 μB per formula unit
Uncorrected energy   -5.580 eV per atom
DOS at the Fermi energy   5.21 states/eV/cell


# 10
Here is an optimized crystal structure of Ac2Ga2GePt6 from the Alexandria database. Energies are from PBE-GGA.

a = 6.8491 Å, b = 6.8491 Å, c = 7.2764 Å
α = 61.92°, β = 61.92°, γ = 60.00°
With the nearest neighbours (Å) after each atom.
Atoms (fractional coordinates):
Ac1 0.7468 0.7468 0.7596  3 Pt 3.08, 1 Ga 3.17
Ac2 0.2532 0.2532 0.2404  3 Pt 3.08, 1 Ga 3.17
Ga1 0.4264 0.4264 0.7208  3 Pt 2.38
Ga2 0.5736 0.5736 0.2792  3 Pt 2.38
Ge1 0.0000 0.0000 0.0000  6 Pt 2.56
Pt1 0.7567 0.7567 0.3272  1 Ga 2.38, 1 Ge 2.56
Pt2 0.1595 0.7567 0.3272  1 Ga 2.38, 1 Ge 2.56
Pt3 0.7567 0.1595 0.3272  1 Ga 2.38, 1 Ge 2.56
Pt4 0.2433 0.8405 0.6728  1 Ga 2.38, 1 Ge 2.56
Pt5 0.8405 0.2433 0.6728  1 Ga 2.38, 1 Ge 2.56
Pt6 0.2433 0.2433 0.6728  1 Ga 2.38, 1 Ge 2.56

ΔE_f   -656 meV/atom
Total magnetic moment   0.0 μB per formula unit
Uncorrected energy   -5.668 eV per atom
DOS at the Fermi energy   5.52 states/eV/cell